Entry 1:
An optimized crystal structure of CrP2O7, computed with GGA+U.

Structure (POSCAR):
```
CrP2O7
1.0
6.849 0.000 0.000
0.000 8.085 0.000
-2.943 0.000 8.878
Cr P O
4 8 28
direct
0.222 0.228 0.005
0.222 0.272 0.505
0.778 0.728 0.495
0.778 0.772 0.995
0.031 0.586 0.294
0.031 0.914 0.794
0.431 0.029 0.793
0.431 0.471 0.293
0.569 0.529 0.707
0.569 0.971 0.207
0.969 0.086 0.206
0.969 0.414 0.706
0.016 0.225 0.109
0.016 0.275 0.609
0.025 0.084 0.861
0.025 0.416 0.361
0.107 0.094 0.372
0.107 0.406 0.872
0.263 0.614 0.292
0.263 0.886 0.792
0.362 0.057 0.158
0.362 0.443 0.658
0.386 0.101 0.635
0.386 0.399 0.135
0.415 0.163 0.908
0.415 0.337 0.408
0.585 0.663 0.592
0.585 0.837 0.092
0.614 0.601 0.865
0.614 0.899 0.365
0.638 0.557 0.342
0.638 0.943 0.842
0.737 0.114 0.208
0.737 0.386 0.708
0.893 0.594 0.128
0.893 0.906 0.628
0.975 0.584 0.639
0.975 0.916 0.139
0.984 0.725 0.391
0.984 0.775 0.891
```

Crystal system = monoclinic
DFT total energy = -7.247 eV/atom
Mass density = 3.05 g/cm³
Calculated volume = 12.3 Å³ per atom
Polymorph energy (0 for the lowest one) = 28.6 kJ/mol of formula units

Entry 2:
An optimized crystal structure of CrP2O2, computed with GGA+U.

Structure (POSCAR):
```
CrP2O2
1.0
4.453 0.000 0.000
0.000 4.453 0.000
0.000 0.000 3.501
Cr P O
1 2 2
direct
0.000 0.000 0.000
0.000 0.500 0.000
0.500 0.000 0.000
0.000 0.000 0.500
0.500 0.500 0.500
```

Crystal system = tetragonal
DFT total energy = -5.078 eV/atom
Mass density = 3.49 g/cm³
N(E_F) = 3.26 states/eV/cell
Calculated volume = 13.9 Å³ per atom
Polymorph energy (0 for the lowest one) = 493.9 kJ/mol of formula units

Please write out number 1 again, unchanged.
An optimized crystal structure of CrP2O7, computed with GGA+U.

Structure (POSCAR):
```
CrP2O7
1.0
6.849 0.000 0.000
0.000 8.085 0.000
-2.943 0.000 8.878
Cr P O
4 8 28
direct
0.222 0.228 0.005
0.222 0.272 0.505
0.778 0.728 0.495
0.778 0.772 0.995
0.031 0.586 0.294
0.031 0.914 0.794
0.431 0.029 0.793
0.431 0.471 0.293
0.569 0.529 0.707
0.569 0.971 0.207
0.969 0.086 0.206
0.969 0.414 0.706
0.016 0.225 0.109
0.016 0.275 0.609
0.025 0.084 0.861
0.025 0.416 0.361
0.107 0.094 0.372
0.107 0.406 0.872
0.263 0.614 0.292
0.263 0.886 0.792
0.362 0.057 0.158
0.362 0.443 0.658
0.386 0.101 0.635
0.386 0.399 0.135
0.415 0.163 0.908
0.415 0.337 0.408
0.585 0.663 0.592
0.585 0.837 0.092
0.614 0.601 0.865
0.614 0.899 0.365
0.638 0.557 0.342
0.638 0.943 0.842
0.737 0.114 0.208
0.737 0.386 0.708
0.893 0.594 0.128
0.893 0.906 0.628
0.975 0.584 0.639
0.975 0.916 0.139
0.984 0.725 0.391
0.984 0.775 0.891
```

Crystal system = monoclinic
DFT total energy = -7.247 eV/atom
Mass density = 3.05 g/cm³
Calculated volume = 12.3 Å³ per atom
Polymorph energy (0 for the lowest one) = 28.6 kJ/mol of formula units